(1)
Entry from the Alexandria database: an optimized crystal structure of Al2NiAs (PBE).

Output
- Fermi-level density of states (states/eV/f.u.) = 1.22
- ρ (g cm⁻³) = 5.117
- total magnetization (μB per formula unit) = 0.00
- DFT formation energy (meV/atom) = -133

Cell: 2.8692 2.8692 7.3938 Å, 90.00 90.00 90.00°
Last column: nearest neighbours and their distance in Å.
Atoms (fractional coordinates):
Al  0.0000  0.0000  0.0000  4 Ni 2.54
Al  0.5000  0.5000  0.2698  8 Al 2.85-2.87, 4 As 3.08
Ni  0.5000  0.5000  0.7936  4 Al 2.54, 4 As 2.56
As  0.0000  0.0000  0.5832  4 Ni 2.56

=====

(2)
Entry from the Alexandria database: an optimized crystal structure of AlNi4As (PBE).

Output
- Fermi-level density of states (states/eV/f.u.) = 2.18
- ρ (g cm⁻³) = 7.392
- total magnetization (μB per formula unit) = 0.00
- DFT formation energy (meV/atom) = -53

Cell: 4.7468 4.7468 4.7468 Å, 60.00 60.00 60.00°
Last column: nearest neighbours and their distance in Å.
Atoms (fractional coordinates):
Al  0.0000  0.0000  0.0000  12 Ni 2.78, 4 As 2.91
Ni  0.1243  0.6252  0.6252  6 Ni 2.37-2.38
Ni  0.6252  0.1243  0.6252  6 Ni 2.37-2.38
Ni  0.6252  0.6252  0.1243  6 Ni 2.37-2.38
Ni  0.6252  0.6252  0.6252  6 Ni 2.37-2.38
As  0.2500  0.2500  0.2500  12 Ni 2.78, 4 Al 2.91

=====

(3)
Entry from the Alexandria database: an optimized crystal structure of Al2NiAs (PBE).

Output
- Fermi-level density of states (states/eV/f.u.) = 2.09
- ρ (g cm⁻³) = 4.982
- total magnetization (μB per formula unit) = 0.00
- DFT formation energy (meV/atom) = -99

Cell: 3.4477 3.4477 5.2598 Å, 90.00 90.00 90.00°
Last column: nearest neighbours and their distance in Å.
Atoms (fractional coordinates):
Al  0.0000  0.0000  0.0000  4 Ni 2.54, 2 As 2.59-2.67
Al  0.5000  0.5000  0.3184  1 Ni 2.39, 4 As 2.63
Ni  0.5000  0.5000  0.8638  5 Al 2.39-2.54
As  0.0000  0.0000  0.5083  6 Al 2.59-2.67

=====

(4)
Entry from the Alexandria database: an optimized crystal structure of AlNi2As (PBE).

Output
- Fermi-level density of states (states/eV/f.u.) = 2.42
- ρ (g cm⁻³) = 6.961
- total magnetization (μB per formula unit) = 0.00
- DFT formation energy (meV/atom) = -290

Cell: 8.4251 3.2594 3.9552 Å, 90.00 105.56 90.00°
Last column: nearest neighbours and their distance in Å.
Atoms (fractional coordinates):
Al  0.0000  0.0000  0.0000  7 Ni 2.45-2.57
Al  0.5000  0.5000  0.0000  7 Ni 2.45-2.57
Ni  0.0068  0.5000  0.5002  3 As 2.44-2.50, 4 Al 2.55-2.57, 2 Ni 2.67-2.73
Ni  0.2335  0.5000  0.1398  3 Al 2.45-2.50, 4 As 2.54-2.58, 2 Ni 2.67-2.73
Ni  0.5068  0.0000  0.5002  3 As 2.44-2.50, 4 Al 2.55-2.57, 2 Ni 2.67-2.73
Ni  0.7335  0.0000  0.1398  3 Al 2.45-2.50, 4 As 2.54-2.58, 2 Ni 2.67-2.73
As  0.2410  0.0000  0.6370  7 Ni 2.44-2.58
As  0.7410  0.5000  0.6370  7 Ni 2.44-2.58

=====

(5)
Entry from the Alexandria database: an optimized crystal structure of AlNiAs2 (PBE).

Output
- Fermi-level density of states (states/eV/f.u.) = 1.71
- ρ (g cm⁻³) = 6.208
- total magnetization (μB per formula unit) = 0.00
- DFT formation energy (meV/atom) = 125

Cell: 5.8651 7.0306 3.0554 Å, 90.00 90.00 90.00°
Last column: nearest neighbours and their distance in Å.
Atoms (fractional coordinates):
Al  0.0000  0.0000  0.0000  8 As 2.75, 2 Ni 2.93, 2 Al 3.06
Al  0.5000  0.5000  0.0000  8 As 2.75, 2 Ni 2.93, 2 Al 3.06
Ni  0.0000  0.5000  0.0000  8 As 2.75, 2 Al 2.93, 2 Ni 3.06
Ni  0.5000  0.0000  0.0000  8 As 2.75, 2 Al 2.93, 2 Ni 3.06
As  0.2500  0.2500  0.5000  4 Al 2.75, 4 Ni 2.75, 4 As 2.93-3.06
As  0.2500  0.7500  0.5000  4 Ni 2.75, 4 Al 2.75, 4 As 2.93-3.06
As  0.7500  0.2500  0.5000  4 Ni 2.75, 4 Al 2.75, 4 As 2.93-3.06
As  0.7500  0.7500  0.5000  4 Ni 2.75, 4 Al 2.75, 4 As 2.93-3.06

=====

(6)
Entry from the Alexandria database: an optimized crystal structure of AlNi2As (PBE).

Output
- Fermi-level density of states (states/eV/f.u.) = 2.99
- ρ (g cm⁻³) = 7.084
- total magnetization (μB per formula unit) = 0.00
- DFT formation energy (meV/atom) = -267

Cell: 3.5613 3.6148 7.9863 Å, 90.00 90.00 90.00°
Last column: nearest neighbours and their distance in Å.
Atoms (fractional coordinates):
Al  0.0000  0.0000  0.0000  8 Ni 2.54-2.69, 4 As 2.68-2.69
Al  0.5000  0.5000  0.5000  8 Ni 2.54-2.69, 4 As 2.68-2.69
Ni  0.0000  0.0000  0.4974  4 Al 2.54, 4 As 2.65-2.72, 4 Ni 2.68-2.69
Ni  0.0000  0.5000  0.2480  4 As 2.54, 4 Ni 2.68-2.69, 4 Al 2.68-2.69
Ni  0.5000  0.0000  0.7480  4 As 2.54, 4 Ni 2.68-2.69, 4 Al 2.68-2.69
Ni  0.5000  0.5000  0.9974  4 Al 2.54, 4 As 2.65-2.72, 4 Ni 2.68-2.69
As  0.0000  0.5000  0.7517  8 Ni 2.54-2.72, 4 Al 2.68-2.69
As  0.5000  0.0000  0.2517  8 Ni 2.54-2.72, 4 Al 2.68-2.69

=====

Which value of Fermi-level density of states does entry 4 give? 2.42 states/eV/f.u.